Density functional theory data (PBE) for crystalline NdGePd at its relaxed geometry.

```
NdGePd
1.0
-1.982 1.982 4.359
1.982 -1.982 4.359
1.982 1.982 -4.359
Nd Ge Pd
1 1 1
Cartesian
0.000 0.000 0.000 Nd
0.000 0.000 2.913 Ge
0.000 0.000 5.588 Pd
```

Properties
DFT total energy	-5.345	eV per atom
total moment	0.00	Bohr magnetons per cell

---

Density functional theory data (PBE) for crystalline NdGe3Pd2 at its relaxed geometry.

```
NdGe3Pd2
1.0
-2.157 2.157 12.698
2.157 -2.157 12.698
2.157 2.157 -12.698
Nd Ge Pd
2 6 4
Cartesian
0.000 0.000 3.819 Nd
0.000 0.000 21.577 Nd
2.157 0.000 1.248 Ge
0.000 0.000 7.694 Ge
2.157 0.000 11.450 Ge
0.000 2.157 1.248 Ge
0.000 0.000 17.701 Ge
0.000 2.157 11.450 Ge
2.157 0.000 6.349 Pd
0.000 0.000 10.175 Pd
0.000 0.000 15.221 Pd
0.000 2.157 6.349 Pd
```

Properties
total moment	0.00	Bohr magnetons per cell
distance to the lowest polymorph of the same formula	0.0	kJ per mole of atoms

---

no.,theoretical density (g cm⁻³)
1,7.84
2,8.08